Record 1
Below is a relaxed structure of MnAlRe2, with properties calculated at the GGA-PBEsol level.

a = 2.722 Å, b = 4.657 Å, c = 4.657 Å
α = 112.74°, β = 90.00°, γ = 90.00°
Element x y z (fractional)
Re1 0.000 0.000 0.500
Re2 0.000 0.500 0.000
Mn1 0.500 0.500 0.500
Al1 0.500 0.000 0.000

ΔE_f, eV per atom: 0.1166
Space-group type: Cmmm, No. 65

Record 2
Below is a relaxed structure of Ca3In2As4, with properties calculated at the GGA-PBEsol level.

a = 4.320 Å, b = 6.526 Å, c = 15.978 Å
α = 90.00°, β = 90.00°, γ = 90.00°
Element x y z (fractional)
In1 0.000 0.142 0.589
In2 0.500 0.642 0.911
In3 0.000 0.858 0.411
In4 0.500 0.358 0.089
As1 0.500 0.723 0.326
As2 0.000 0.223 0.174
As3 0.000 0.777 0.826
As4 0.000 0.739 0.572
As5 0.000 0.261 0.428
As6 0.500 0.277 0.674
As7 0.500 0.761 0.072
As8 0.500 0.239 0.928
Ca1 0.000 0.717 0.196
Ca2 0.000 0.000 0.000
Ca3 0.500 0.500 0.500
Ca4 0.000 0.283 0.804
Ca5 0.500 0.217 0.304
Ca6 0.500 0.783 0.696

ΔE_f, eV per atom: -0.8461
Space-group type: Pnnm, No. 58

Record 3
Below is a relaxed structure of Mn2ReSi, with properties calculated at the GGA-PBEsol level.

a = 4.078 Å, b = 4.078 Å, c = 4.078 Å
α = 60.00°, β = 60.00°, γ = 60.00°
Element x y z (fractional)
Si1 0.250 0.250 0.250
Re1 0.500 0.500 0.500
Mn1 0.750 0.750 0.750
Mn2 0.000 0.000 0.000

Formation energy from raw total energies, kJ per mole of atoms: -20
Space-group type: F-43m, No. 216

Record 4
Below is a relaxed structure of BeBiSb2I, with properties calculated at the GGA-PBEsol level.

a = 4.977 Å, b = 5.049 Å, c = 5.049 Å
α = 90.00°, β = 90.00°, γ = 90.00°
Element x y z (fractional)
Sb1 0.000 0.000 0.500
Sb2 0.000 0.500 0.000
Be1 0.000 0.000 0.000
Bi1 0.500 0.500 0.500
I1 0.500 0.000 0.000

Formation energy from raw total energies, kJ per mole of atoms: 36
Space-group type: P4/mmm, No. 123

Record 5
Below is a relaxed structure of AlRu2Cl, with properties calculated at the GGA-PBEsol level.

a = 2.761 Å, b = 4.857 Å, c = 5.069 Å
α = 118.62°, β = 105.80°, γ = 90.00°
Element x y z (fractional)
Ru1 0.738 0.738 0.475
Ru2 0.262 0.262 0.525
Al1 0.500 0.000 0.000
Cl1 0.000 0.500 0.000

Formation energy from raw total energies, kJ per mole of atoms: 28
Space-group type: Immm, No. 71
E above lowest polymorph, eV per atom: 0.2511

Record 6
Below is a relaxed structure of KNaSb2, with properties calculated at the GGA-PBEsol level.

a = 4.924 Å, b = 4.924 Å, c = 11.537 Å
α = 102.32°, β = 102.32°, γ = 90.00°
Element x y z (fractional)
Sb1 0.625 0.552 0.750
Sb2 0.802 0.375 0.250
Sb3 0.125 0.198 0.750
Sb4 0.448 0.875 0.250
Na1 0.750 0.250 0.500
Na2 0.500 0.500 0.000
K1 0.000 0.000 0.000
K2 0.250 0.750 0.500

Formation energy from raw total energies, kJ per mole of atoms: -16
Space-group type: I-42d, No. 122

Record 7
Below is a relaxed structure of LaSClO4, with properties calculated at the GGA-PBEsol level.

a = 6.705 Å, b = 8.146 Å, c = 8.467 Å
α = 90.00°, β = 112.35°, γ = 90.00°
Element x y z (fractional)
O1 0.336 0.412 0.123
O2 0.985 0.814 0.613
O3 0.195 0.583 0.872
O4 0.805 0.417 0.128
O5 0.485 0.686 0.113
O6 0.305 0.083 0.628
O7 0.836 0.088 0.623
O8 0.633 0.844 0.627
O9 0.015 0.186 0.387
O10 0.164 0.912 0.377
O11 0.695 0.917 0.372
O12 0.867 0.344 0.873
O13 0.367 0.156 0.373
O14 0.133 0.656 0.127
O15 0.515 0.314 0.887
O16 0.664 0.588 0.877
La1 0.610 0.196 0.226
La2 0.390 0.804 0.774
La3 0.110 0.304 0.726
La4 0.890 0.696 0.274
Cl1 0.260 0.535 0.529
Cl2 0.760 0.965 0.029
Cl3 0.740 0.465 0.471
Cl4 0.240 0.035 0.971
S1 0.712 0.417 0.935
S2 0.788 0.917 0.565
S3 0.288 0.583 0.065
S4 0.212 0.083 0.435

Formation energy from raw total energies, kJ per mole of atoms: -218
Space-group type: P2_1/c, No. 14

Record 8
Below is a relaxed structure of AlCd2Re, with properties calculated at the GGA-PBEsol level.

a = 2.767 Å, b = 4.805 Å, c = 5.352 Å
α = 96.29°, β = 104.98°, γ = 90.00°
Element x y z (fractional)
Cd1 0.263 0.256 0.527
Cd2 0.737 0.744 0.473
Re1 0.000 0.500 0.000
Al1 0.500 0.000 0.000

ΔE_f, eV per atom: 0.3006
Space-group type: C2/m, No. 12

Record 9
Below is a relaxed structure of FeCo, with properties calculated at the GGA-PBEsol level.

a = 2.780 Å, b = 3.947 Å, c = 8.266 Å
α = 103.81°, β = 99.68°, γ = 90.00°
Element x y z (fractional)
Fe1 0.875 0.375 0.751
Fe2 0.124 0.624 0.249
Fe3 0.625 0.125 0.249
Fe4 0.250 0.250 0.500
Co1 0.499 0.499 0.998
Co2 0.376 0.876 0.752
Co3 0.750 0.750 0.499
Co4 0.001 0.001 0.002

ΔE_f, eV per atom: 0.0337
Space-group type: Imm2, No. 44

Record 10
Below is a relaxed structure of Zr2ZnTe, with properties calculated at the GGA-PBEsol level.

a = 4.467 Å, b = 5.079 Å, c = 4.467 Å
α = 63.91°, β = 90.00°, γ = 116.09°
Element x y z (fractional)
Zr1 0.250 0.500 0.250
Zr2 0.750 0.500 0.750
Te1 0.500 0.000 0.500
Zn1 0.000 0.000 0.000

Formation energy from raw total energies, kJ per mole of atoms: -38
Space-group type: I4/mmm, No. 139
E above lowest polymorph, eV per atom: 0.0114

Record 11
Below is a relaxed structure of Li2AsRu, with properties calculated at the GGA-PBEsol level.

a = 3.586 Å, b = 3.586 Å, c = 4.078 Å
α = 90.00°, β = 90.00°, γ = 90.00°
Element x y z (fractional)
Li1 0.500 0.000 0.000
Li2 0.000 0.500 0.000
As1 0.000 0.000 0.500
Ru1 0.500 0.500 0.500

ΔE_f, eV per atom: -0.1761
Space-group type: P4/mmm, No. 123

Record 12
Below is a relaxed structure of V2P2O9, with properties calculated at the GGA-PBEsol level.

a = 7.451 Å, b = 8.367 Å, c = 9.524 Å
α = 90.00°, β = 90.00°, γ = 90.00°
Element x y z (fractional)
O1 0.750 0.181 0.971
O2 0.025 0.000 0.864
O3 0.250 0.500 0.164
O4 0.250 0.181 0.029
O5 0.964 0.343 0.147
O6 0.525 0.000 0.136
O7 0.525 0.500 0.636
O8 0.037 0.146 0.365
O9 0.750 0.500 0.836
O10 0.963 0.854 0.635
O11 0.250 0.319 0.529
O12 0.537 0.146 0.635
O13 0.536 0.657 0.147
O14 0.750 0.319 0.471
O15 0.464 0.157 0.353
O16 0.463 0.646 0.865
O17 0.750 0.819 0.971
O18 0.250 0.819 0.029
O19 0.536 0.843 0.647
O20 0.250 0.681 0.529
O21 0.250 0.000 0.664
O22 0.537 0.354 0.135
O23 0.975 0.500 0.636
O24 0.975 0.000 0.136
O25 0.964 0.157 0.647
O26 0.750 0.000 0.336
O27 0.475 0.000 0.864
O28 0.464 0.343 0.853
O29 0.475 0.500 0.364
O30 0.463 0.854 0.365
O31 0.036 0.657 0.853
O32 0.963 0.646 0.135
O33 0.036 0.843 0.353
O34 0.025 0.500 0.364
O35 0.037 0.354 0.865
O36 0.750 0.681 0.471
P1 0.042 0.002 0.701
P2 0.542 0.002 0.299
P3 0.042 0.498 0.201
P4 0.458 0.998 0.701
P5 0.542 0.498 0.799
P6 0.458 0.502 0.201
P7 0.958 0.502 0.799
P8 0.958 0.998 0.299
V1 0.034 0.689 0.503
V2 0.534 0.689 0.497
V3 0.966 0.189 0.997
V4 0.466 0.311 0.503
V5 0.466 0.189 0.003
V6 0.534 0.811 0.997
V7 0.966 0.311 0.497
V8 0.034 0.811 0.003

Formation energy from raw total energies, kJ per mole of atoms: -216
Space-group type: Pbcn, No. 60
E above lowest polymorph, eV per atom: 0.0000

Record 13
Below is a relaxed structure of Ag2Se, with properties calculated at the GGA-PBEsol level.

a = 4.442 Å, b = 4.442 Å, c = 4.442 Å
α = 60.00°, β = 60.00°, γ = 60.00°
Element x y z (fractional)
Ag1 0.250 0.250 0.250
Ag2 0.750 0.750 0.750
Se1 0.000 0.000 0.000

Formation energy from raw total energies, kJ per mole of atoms: 1
Space-group type: Fm-3m, No. 225

Record 14
Below is a relaxed structure of LaCo2Cu, with properties calculated at the GGA-PBEsol level.

a = 4.016 Å, b = 4.017 Å, c = 5.408 Å
α = 68.19°, β = 68.20°, γ = 60.00°
Element x y z (fractional)
Co1 0.940 0.940 0.180
Co2 0.263 0.263 0.211
La1 0.746 0.747 0.760
Cu1 0.550 0.550 0.349

ΔE_f, eV per atom: -0.0217
Space-group type: R3m, No. 160

Record 15
Below is a relaxed structure of KMnZn2, with properties calculated at the GGA-PBEsol level.

a = 2.788 Å, b = 3.940 Å, c = 7.544 Å
α = 90.00°, β = 90.00°, γ = 90.00°
Element x y z (fractional)
Zn1 0.000 0.000 0.976
Zn2 0.500 0.500 0.179
Mn1 0.500 0.500 0.847
K1 0.000 0.000 0.498

ΔE_f, eV per atom: 0.5003
Space-group type: Pmm2, No. 25
E above lowest polymorph, eV per atom: 0.0000

Record 16
Below is a relaxed structure of KRbZnPd2, with properties calculated at the GGA-PBEsol level.

a = 5.347 Å, b = 5.347 Å, c = 6.024 Å
α = 90.00°, β = 90.00°, γ = 90.00°
Element x y z (fractional)
Pd1 0.000 0.500 0.000
Pd2 0.500 0.000 0.000
Zn1 0.000 0.000 0.500
K1 0.500 0.500 0.500
Rb1 0.000 0.000 0.000

ΔE_f, eV per atom: 1.0482
Space-group type: P4/mmm, No. 123

Record 17
Below is a relaxed structure of Co3P2H8O12, with properties calculated at the GGA-PBEsol level.

a = 4.895 Å, b = 10.426 Å, c = 18.587 Å
α = 90.00°, β = 90.00°, γ = 90.00°
Element x y z (fractional)
H1 0.146 0.111 0.791
H2 0.854 0.889 0.209
H3 0.784 0.709 0.147
H4 0.284 0.791 0.853
H5 0.146 0.111 0.709
H6 0.217 0.516 0.250
H7 0.716 0.209 0.147
H8 0.044 0.894 0.638
H9 0.717 0.984 0.750
H10 0.044 0.894 0.862
H11 0.456 0.394 0.862
H12 0.544 0.606 0.362
H13 0.284 0.791 0.647
H14 0.547 0.102 0.250
H15 0.544 0.606 0.138
H16 0.216 0.291 0.647
H17 0.646 0.389 0.291
H18 0.854 0.889 0.291
H19 0.956 0.106 0.362
H20 0.783 0.484 0.750
H21 0.716 0.209 0.353
H22 0.283 0.016 0.250
H23 0.047 0.398 0.750
H24 0.216 0.291 0.853
H25 0.953 0.602 0.250
H26 0.354 0.611 0.709
H27 0.784 0.709 0.353
H28 0.456 0.394 0.638
H29 0.646 0.389 0.209
H30 0.354 0.611 0.791
H31 0.453 0.898 0.750
H32 0.956 0.106 0.138
O1 0.646 0.661 0.326
O2 0.938 0.392 0.082
O3 0.612 0.709 0.955
O4 0.846 0.394 0.750
O5 0.654 0.894 0.750
O6 0.184 0.859 0.325
O7 0.888 0.209 0.545
O8 0.684 0.641 0.825
O9 0.816 0.141 0.825
O10 0.888 0.209 0.955
O11 0.438 0.108 0.582
O12 0.123 0.024 0.423
O13 0.562 0.892 0.418
O14 0.184 0.859 0.175
O15 0.623 0.476 0.923
O16 0.776 0.395 0.250
O17 0.146 0.839 0.674
O18 0.316 0.359 0.175
O19 0.877 0.976 0.923
O20 0.684 0.641 0.675
O21 0.854 0.161 0.174
O22 0.612 0.709 0.545
O23 0.562 0.892 0.082
O24 0.388 0.291 0.045
O25 0.112 0.791 0.455
O26 0.112 0.791 0.045
O27 0.854 0.161 0.326
O28 0.062 0.608 0.918
O29 0.646 0.661 0.174
O30 0.377 0.524 0.077
O31 0.623 0.476 0.577
O32 0.377 0.524 0.423
O33 0.123 0.024 0.077
O34 0.877 0.976 0.577
O35 0.316 0.359 0.325
O36 0.062 0.608 0.582
O37 0.354 0.339 0.826
O38 0.224 0.605 0.750
O39 0.388 0.291 0.455
O40 0.276 0.105 0.750
O41 0.938 0.392 0.418
O42 0.146 0.839 0.826
O43 0.154 0.606 0.250
O44 0.346 0.106 0.250
O45 0.354 0.339 0.674
O46 0.438 0.108 0.918
O47 0.816 0.141 0.675
O48 0.724 0.895 0.250
Co1 0.217 0.140 0.500
Co2 0.283 0.640 0.000
Co3 0.419 0.760 0.250
Co4 0.717 0.360 0.000
Co5 0.919 0.740 0.750
Co6 0.081 0.260 0.250
Co7 0.783 0.860 0.000
Co8 0.217 0.140 0.000
Co9 0.581 0.240 0.750
Co10 0.783 0.860 0.500
Co11 0.283 0.640 0.500
Co12 0.717 0.360 0.500
P1 0.255 0.893 0.403
P2 0.745 0.107 0.597
P3 0.245 0.393 0.403
P4 0.245 0.393 0.097
P5 0.745 0.107 0.903
P6 0.755 0.607 0.597
P7 0.755 0.607 0.903
P8 0.255 0.893 0.097

Space-group type: Pnma, No. 62
E_tot, eV per cell: -623.03

Record 18
Below is a relaxed structure of BeGa2AsBr, with properties calculated at the GGA-PBEsol level.

a = 5.065 Å, b = 5.318 Å, c = 5.318 Å
α = 90.00°, β = 90.00°, γ = 90.00°
Element x y z (fractional)
Br1 0.000 0.000 0.000
As1 0.500 0.000 0.000
Be1 0.500 0.500 0.500
Ga1 0.000 0.500 0.000
Ga2 0.000 0.000 0.500

Formation energy from raw total energies, kJ per mole of atoms: 113
Space-group type: P4/mmm, No. 123

Record 19
Below is a relaxed structure of CrMoAs, with properties calculated at the GGA-PBEsol level.

a = 4.015 Å, b = 4.015 Å, c = 4.015 Å
α = 60.00°, β = 60.00°, γ = 60.00°
Element x y z (fractional)
As1 0.500 0.500 0.500
Mo1 0.000 0.000 0.000
Cr1 0.250 0.250 0.250

ΔE_f, eV per atom: 0.0843
Space-group type: F-43m, No. 216

Theoretical density values, unit g/cm³, following the record order: 13.9 4.8 11.2 7.7 7.7 3.8 4.2 10.6 8.8 7.9 6.0 3.4 7.9 7.8 4.5 3.9 3.1 3.5 8.1.